1.
Material: Lu4TlPC2
Method: DFT, PBE
State: relaxed

abc: 3.5689 3.5689 14.4676
angles: 90.00 90.00 120.00
Closest atoms and distances in Å follow each position.
Space group P-6m2 (No. 187)
One atom of each set of equivalent atoms:
Lu 0.0000 0.0000 0.1294  3 C 2.50, 3 P 2.78
Lu 0.3333 0.6667 0.3092  3 C 2.38
Tl 0.0000 0.0000 0.5000  6 Lu 3.45, 6 Tl 3.57
P 0.3333 0.6667 0.0000  6 Lu 2.78
C 0.6667 0.3333 0.2267  6 Lu 2.38-2.50

---

2.
Material: Y4Lu2P3C3
Method: DFT, PBE
State: relaxed

abc: 10.9243 6.3132 13.7677
angles: 90.00 105.34 90.00
Closest atoms and distances in Å follow each position.
Space group C2/c (No. 15)
One atom of each set of equivalent atoms:
Y 0.1185 0.0828 0.1048  3 C 2.52-2.55
Y 0.2151 0.0833 0.3951  3 C 2.52-2.55
Lu 0.0502 0.4164 0.9002  3 C 2.46-2.48
P 0.0000 0.0970 0.7500  2 Lu 2.84, 4 Y 2.89
P 0.1589 0.4228 0.2500  2 Lu 2.83, 4 Y 2.88-2.89
C 0.0817 0.2547 0.5000  2 Lu 2.46, 4 Y 2.52-2.55
C 0.2500 0.2500 0.0000  2 Lu 2.48, 4 Y 2.52

---

3.
Material: Lu4Zr2P3C3
Method: DFT, PBE
State: relaxed

abc: 10.6751 6.1669 13.0796
angles: 90.00 105.88 90.00
Closest atoms and distances in Å follow each position.
Space group C2/c (No. 15)
One atom of each set of equivalent atoms:
Lu 0.1194 0.0825 0.1070  3 C 2.46-2.54
Lu 0.2137 0.0837 0.3929  3 C 2.46-2.54, 1 P 2.75
Zr 0.0502 0.4166 0.9001  3 C 2.32-2.41
P 0.0000 0.0947 0.7500  2 Zr 2.74, 4 Lu 2.75-2.76
P 0.1606 0.4229 0.2501  2 Zr 2.74, 4 Lu 2.75-2.77
C 0.0778 0.2670 0.5000  2 Zr 2.32, 4 Lu 2.46-2.54
C 0.2500 0.2500 0.0000  2 Zr 2.41, 4 Lu 2.46

---

4.
Material: Lu2Zr4P3C3
Method: DFT, PBE
State: relaxed

abc: 10.5498 6.0985 12.8209
angles: 90.00 105.92 90.00
Closest atoms and distances in Å follow each position.
Space group C2/c (No. 15)
One atom of each set of equivalent atoms:
Lu 0.0461 0.0824 0.3916  3 C 2.44-2.49, 3 P 2.72-2.73
Zr 0.1181 0.4155 0.6041  3 C 2.35-2.40
Zr 0.2157 0.4180 0.8960  3 C 2.34-2.40
P 0.0000 0.4255 0.2500  4 Zr 2.69-2.70, 2 Lu 2.72
P 0.1718 0.0889 0.7505  4 Zr 2.69, 2 Lu 2.72-2.73
C 0.0876 0.2624 0.0000  4 Zr 2.34-2.40, 2 Lu 2.49
C 0.2500 0.2500 0.5000  4 Zr 2.40, 2 Lu 2.44

---

5.
Material: Lu4PbC3
Method: DFT, PBE
State: relaxed

abc: 3.4990 3.4990 27.6321
angles: 90.00 90.00 120.00
Closest atoms and distances in Å follow each position.
Space group P6_3/mmc (No. 194)
One atom of each set of equivalent atoms:
Lu 0.0000 0.0000 0.1493  3 C 2.34
Lu 0.3333 0.6667 0.0523  6 C 2.48-2.52
Pb 0.3333 0.6667 0.2500  6 Lu 3.44, 6 Pb 3.50
C 0.0000 0.0000 0.0000  6 Lu 2.48
C 0.3333 0.6667 0.6069  6 Lu 2.34-2.52

---

6.
Material: Lu3PbC
Method: DFT, PBE
State: relaxed

abc: 4.7847 4.7847 4.7847
angles: 90.00 90.00 90.00
Closest atoms and distances in Å follow each position.
Space group Pm-3m (No. 221)
One atom of each set of equivalent atoms:
Lu 0.0000 0.0000 0.5000  2 C 2.39
Pb 0.5000 0.5000 0.5000  12 Lu 3.38
C 0.0000 0.0000 0.0000  6 Lu 2.39

---

7.
Material: Lu4PbC2S
Method: DFT, PBE
State: relaxed

abc: 3.5847 3.5847 14.1102
angles: 90.00 90.00 120.00
Closest atoms and distances in Å follow each position.
Space group P-6m2 (No. 187)
One atom of each set of equivalent atoms:
Lu 0.0000 0.0000 0.1302  3 C 2.45
Lu 0.3333 0.6667 0.3122  3 C 2.42
Pb 0.0000 0.0000 0.5000  6 Lu 3.36, 6 Pb 3.58
C 0.6667 0.3333 0.2233  6 Lu 2.42-2.45
S 0.3333 0.6667 0.0000  6 Lu 2.77

---

8.
Material: Lu4PbC2S
Method: DFT, PBE
State: relaxed

abc: 3.5833 3.5833 14.0359
angles: 90.00 90.00 120.00
Closest atoms and distances in Å follow each position.
Space group P-6m2 (No. 187)
One atom of each set of equivalent atoms:
Lu 0.0000 0.0000 0.1306  3 C 2.45
Lu 0.3333 0.6667 0.3132  3 C 2.42
Pb 0.0000 0.0000 0.5000  6 Lu 3.34, 6 Pb 3.58
C 0.6667 0.3333 0.2239  6 Lu 2.42-2.45
S 0.3333 0.6667 0.0000  6 Lu 2.76

---

9.
Material: LuSc3Pb2C2
Method: DFT, PBE
State: relaxed

abc: 3.4423 3.4423 15.2717
angles: 90.00 90.00 120.00
Closest atoms and distances in Å follow each position.
Space group P3m1 (No. 156)
One atom of each set of equivalent atoms:
Lu 0.0000 0.0000 0.0000  3 C 2.37
Sc 0.0000 0.0000 0.3423  3 C 2.31
Sc 0.3333 0.6667 0.4980  3 C 2.32
Sc 0.3333 0.6667 0.8369  3 C 2.32
Pb 0.0000 0.0000 0.6674  6 Sc 3.26, 6 Pb 3.44
Pb 0.3333 0.6667 0.1751  3 Sc 3.24, 3 Lu 3.33, 6 Pb 3.44
C 0.6667 0.3333 0.4200  6 Sc 2.31-2.32
C 0.6667 0.3333 0.9149  3 Sc 2.32, 3 Lu 2.37

---

10.
Material: Lu4Sc2Pb3C3
Method: DFT, PBE
State: relaxed

abc: 10.5256 6.0759 15.8582
angles: 90.00 102.79 90.00
Closest atoms and distances in Å follow each position.
Space group C2/c (No. 15)
One atom of each set of equivalent atoms:
Lu 0.1112 0.0830 0.0832  3 C 2.40-2.43
Lu 0.2220 0.0834 0.4168  3 C 2.40-2.43
Sc 0.0576 0.4167 0.9231  3 C 2.32-2.35
Pb 0.0000 0.0940 0.7500  4 Lu 3.30, 2 Sc 3.32, 6 Pb 3.39-3.57
Pb 0.1612 0.4223 0.2500  4 Lu 3.30, 2 Sc 3.32, 6 Pb 3.39-3.57
C 0.0814 0.2558 0.5000  2 Sc 2.32, 4 Lu 2.40-2.43
C 0.2500 0.2500 0.0000  2 Sc 2.35, 4 Lu 2.40

---

11.
Material: Lu4PbC2Se
Method: DFT, PBE
State: relaxed

abc: 3.6146 3.6146 14.2629
angles: 90.00 90.00 120.00
Closest atoms and distances in Å follow each position.
Space group P-6m2 (No. 187)
One atom of each set of equivalent atoms:
Lu 0.0000 0.0000 0.1373  3 C 2.46
Lu 0.6667 0.3333 0.3165  3 C 2.44
Pb 0.0000 0.0000 0.5000  6 Lu 3.35, 6 Pb 3.61
C 0.3333 0.6667 0.2286  6 Lu 2.44-2.46
Se 0.6667 0.3333 0.0000  6 Lu 2.86

---

12.
Material: Lu4PbC2Se
Method: DFT, PBE
State: relaxed

abc: 3.6103 3.6103 14.2845
angles: 90.00 90.00 120.00
Closest atoms and distances in Å follow each position.
Space group P-6m2 (No. 187)
One atom of each set of equivalent atoms:
Lu 0.0000 0.0000 0.1377  3 C 2.46
Lu 0.6667 0.3333 0.3171  3 C 2.43
Pb 0.0000 0.0000 0.5000  6 Lu 3.34, 6 Pb 3.61
C 0.3333 0.6667 0.2291  6 Lu 2.43-2.46
Se 0.6667 0.3333 0.0000  6 Lu 2.87

---

13.
Material: Lu4SnPbC2
Method: DFT, PBE
State: relaxed

abc: 3.5439 3.5439 15.5700
angles: 90.00 90.00 120.00
Closest atoms and distances in Å follow each position.
Space group P-6m2 (No. 187)
One atom of each set of equivalent atoms:
Lu 0.0000 0.0000 0.1651  3 C 2.42
Lu 0.3333 0.6667 0.3302  3 C 2.41
Sn 0.3333 0.6667 0.0000  6 Lu 3.29, 6 Sn 3.54
Pb 0.0000 0.0000 0.5000  6 Lu 3.34, 6 Pb 3.54
C 0.6667 0.3333 0.2485  6 Lu 2.41-2.42

---

14.
Material: Lu4SnPbC2
Method: DFT, PBE
State: relaxed

abc: 3.5456 3.5456 15.5508
angles: 90.00 90.00 120.00
Closest atoms and distances in Å follow each position.
Space group P-6m2 (No. 187)
One atom of each set of equivalent atoms:
Lu 0.0000 0.0000 0.1653  3 C 2.42
Lu 0.6667 0.3333 0.3303  3 C 2.41
Sn 0.6667 0.3333 0.0000  6 Lu 3.29, 6 Sn 3.55
Pb 0.0000 0.0000 0.5000  6 Lu 3.34, 6 Pb 3.55
C 0.3333 0.6667 0.2487  6 Lu 2.41-2.42

---

15.
Material: TmLuPbC
Method: DFT, PBE
State: relaxed

abc: 3.5702 3.5702 15.7450
angles: 90.00 90.00 120.00
Closest atoms and distances in Å follow each position.
Space group P6_3mc (No. 186)
One atom of each set of equivalent atoms:
Tm 0.3333 0.6667 0.0000  3 C 2.44
Lu 0.3333 0.6667 0.6636  3 C 2.42
Pb 0.3333 0.6667 0.3313  3 Lu 3.35, 3 Tm 3.36, 6 Pb 3.57
C 0.0000 0.0000 0.0826  3 Lu 2.42, 3 Tm 2.44

---

16.
Material: Tm3LuPb2C2
Method: DFT, PBE
State: relaxed

abc: 3.5742 3.5742 15.7869
angles: 90.00 90.00 120.00
Closest atoms and distances in Å follow each position.
Space group P3m1 (No. 156)
One atom of each set of equivalent atoms:
Tm 0.0000 0.0000 0.0000  3 C 2.44
Tm 0.0000 0.0000 0.3360  3 C 2.44
Tm 0.6667 0.3333 0.8356  3 C 2.44
Lu 0.6667 0.3333 0.4992  3 C 2.43
Pb 0.0000 0.0000 0.6673  3 Lu 3.36, 3 Tm 3.36, 6 Pb 3.57
Pb 0.6667 0.3333 0.1678  6 Tm 3.36, 6 Pb 3.57
C 0.3333 0.6667 0.4185  3 Lu 2.43, 3 Tm 2.44
C 0.3333 0.6667 0.9177  6 Tm 2.44

---

17.
Material: Tm2LuPbC
Method: DFT, PBE
State: relaxed

abc: 4.8263 4.8263 4.7840
angles: 90.00 90.00 90.00
Closest atoms and distances in Å follow each position.
Space group P4/mmm (No. 123)
One atom of each set of equivalent atoms:
Tm 0.0000 0.5000 0.0000  2 C 2.41
Lu 0.0000 0.0000 0.5000  2 C 2.39
Pb 0.5000 0.5000 0.5000  8 Tm 3.40, 4 Lu 3.41
C 0.0000 0.0000 0.0000  2 Lu 2.39, 4 Tm 2.41

---

18.
Material: TmLuPbC
Method: DFT, PBE
State: relaxed

abc: 3.5704 3.5704 15.7440
angles: 90.00 90.00 120.00
Closest atoms and distances in Å follow each position.
Space group P-3m1 (No. 164)
One atom of each set of equivalent atoms:
Tm 0.3333 0.6667 0.4176  3 C 2.44
Lu 0.3333 0.6667 0.0812  3 C 2.43
Pb 0.3333 0.6667 0.7511  3 Lu 3.35, 3 Tm 3.36, 6 Pb 3.57
C 0.0000 0.0000 0.0000  6 Lu 2.43
C 0.0000 0.0000 0.5000  6 Tm 2.44

---

19.
Material: TmLuPbC
Method: DFT, PBE
State: relaxed

abc: 3.5725 3.5725 15.7580
angles: 90.00 90.00 120.00
Closest atoms and distances in Å follow each position.
Space group P-6m2 (No. 187)
One atom of each set of equivalent atoms:
Tm 0.0000 0.0000 0.1682  3 C 2.44
Lu 0.6667 0.3333 0.3319  3 C 2.42
Pb 0.0000 0.0000 0.5000  6 Lu 3.36, 6 Pb 3.57
Pb 0.6667 0.3333 0.0000  6 Tm 3.36, 6 Pb 3.57
C 0.3333 0.6667 0.2510  3 Lu 2.42, 3 Tm 2.44

---

20.
Material: Lu4Pb3W2C3
Method: DFT, PBE
State: relaxed

abc: 10.2007 5.9366 15.1462
angles: 90.00 102.44 90.00
Closest atoms and distances in Å follow each position.
Space group C2/c (No. 15)
One atom of each set of equivalent atoms:
Lu 0.1119 0.0717 0.0875  3 C 2.38-2.42
Lu 0.2157 0.0891 0.4124  3 C 2.40-2.41
Pb 0.0000 0.1145 0.7500  4 Lu 3.13-3.17, 2 Pb 3.15, 2 W 3.21
Pb 0.1552 0.4277 0.2486  3 Pb 3.15-3.52, 4 Lu 3.15-3.19, 2 W 3.23-3.31
W 0.0699 0.4089 0.9319  3 C 2.12-2.15
C 0.0758 0.2718 0.5000  2 W 2.14-2.15, 2 Lu 2.40
C 0.2500 0.2500 0.0000  2 W 2.12

---

| no. | spin magnetization (μB/f.u.) | electronic total energy (eV per atom) |
| --- | --- | --- |
| 1 | 0.60 | -6.1665 |
| 2 | 0.00 | -7.2885 |
| 3 | 0.00 | -7.5010 |
| 4 | 0.00 | -8.2493 |
| 5 | 0.01 | -6.5378 |
| 6 | 0.00 | -5.8657 |
| 7 | 0.01 | -6.4898 |
| 8 | 0.01 | -6.4893 |
| 9 | 0.00 | -6.7592 |
| 10 | 0.00 | -6.3637 |
| 11 | 0.01 | -6.3395 |
| 12 | 0.01 | -6.3393 |
| 13 | 0.03 | -6.1181 |
| 14 | 0.03 | -6.1181 |
| 15 | 0.01 | -6.0290 |
| 16 | 0.02 | -6.0186 |
| 17 | 0.01 | -5.8443 |
| 18 | 0.00 | -6.0291 |
| 19 | 0.00 | -6.0290 |
| 20 | 0.00 | -7.2173 |